Entry 1:
A relaxed structure of Li7ZnCd2, computed with PBE.

Cell and atoms, written as POSCAR:
```
Li7ZnCd2
1.0
-3.2212 -2.9324 1.2110
4.3172 -1.3310 -0.1792
1.2754 2.7757 10.1134
Li Zn Cd
7 1 2
direct
0.3333 0.6667 0.3917 Li
0.3333 0.6667 0.1440 Li
0.0000 0.0000 0.3346 Li
0.0000 0.0000 0.7725 Li
0.6667 0.3333 0.5311 Li
0.6667 0.3333 0.9605 Li
0.3333 0.6667 0.9077 Li
0.0000 0.0000 0.0577 Zn
0.6667 0.3333 0.2334 Cd
0.3333 0.6667 0.6504 Cd
```

Values from the calculation:
Energy relative to the lowest polymorph listed for this composition, eV/f.u.: 0.00
Space-group type: P3m1, No. 156
N(E_F), states/eV/atom: 0.403
Total energy, eV per atom: -1.731
Formation enthalpy at 0 K, eV/atom: -0.081



Entry 2:
A relaxed structure of SrCu3P, computed with PBE.

Cell and atoms, written as POSCAR:
```
SrCu3P
1.0
-1.8113 1.6605 4.5206
-0.3873 -4.8643 1.6315
4.8003 0.2341 1.8374
Sr Cu P
1 3 1
direct
0.0000 0.0000 0.0000 Sr
0.0000 0.5000 0.0000 Cu
0.0000 0.0000 0.5000 Cu
0.5000 0.0000 0.0000 Cu
0.5000 0.5000 0.5000 P
```

Values from the calculation:
Energy relative to the lowest polymorph listed for this composition, eV/f.u.: 8.79
Space-group type: Pm-3m, No. 221
N(E_F), states/eV/atom: 0.615
Total energy, eV per atom: -2.130
Formation enthalpy at 0 K, eV/atom: 1.746



Entry 3:
A relaxed structure of Cr2ReP, computed with PBE.

Cell and atoms, written as POSCAR:
```
Cr2ReP
1.0
5.4415 0.0000 0.0000
0.0000 5.4415 0.0000
2.7207 2.7207 5.2011
Re P Cr
2 2 4
direct
0.0000 0.0000 0.0000 Re
0.7500 0.2500 0.5000 Re
0.5000 0.5000 0.0000 P
0.2500 0.7500 0.5000 P
0.6108 0.1250 0.2500 Cr
0.1392 0.6250 0.2500 Cr
0.3750 0.3892 0.7500 Cr
0.8750 0.8608 0.7500 Cr
```

Values from the calculation:
Space-group type: I-42d, No. 122
N(E_F), states/eV/atom: 0.602
Total energy, eV per atom: -8.348
Formation enthalpy at 0 K, eV/atom: 0.928



Entry 4:
A relaxed structure of RbTeSCl2, computed with PBE.

Cell and atoms, written as POSCAR:
```
RbTeSCl2
1.0
-1.0751 -3.1750 -4.4076
5.3578 0.1207 -1.3938
0.8336 -4.2230 2.8387
S Te Rb Cl
1 1 1 2
direct
0.0000 0.0000 0.5000 S
0.0000 0.0000 0.0000 Te
0.5000 0.5000 0.5000 Rb
0.0000 0.5000 0.0000 Cl
0.5000 0.0000 0.0000 Cl
```

Values from the calculation:
Energy relative to the lowest polymorph listed for this composition, eV/f.u.: 0.00
Space-group type: P4/mmm, No. 123
N(E_F), states/eV/atom: 0.604
Total energy, eV per atom: -3.122
Formation energy without anion corrections, meV/atom: -736



Entry 5:
A relaxed structure of CsGeBi, computed with PBE.

Cell and atoms, written as POSCAR:
```
CsGeBi
1.0
3.9112 0.0000 0.0000
0.0000 3.9112 0.0000
-1.9556 -1.9556 6.9623
Cs Ge Bi
1 1 1
direct
0.0064 0.0064 0.0129 Cs
0.7017 0.7017 0.4034 Ge
0.2918 0.2918 0.5837 Bi
```

Values from the calculation:
Space-group type: I4mm, No. 107
N(E_F), states/eV/atom: 0.532
Total energy, eV per atom: -3.188
Formation enthalpy at 0 K, eV/atom: -0.071



Entry 6:
A relaxed structure of Hf2AgC, computed with PBE.

Cell and atoms, written as POSCAR:
```
Hf2AgC
1.0
-1.8054 -1.6707 2.1063
2.4766 -3.8204 -0.9074
6.4799 2.9222 5.3825
Hf Ag C
4 2 2
direct
0.2111 0.2500 0.4222 Hf
0.7889 0.7500 0.5778 Hf
0.3909 0.2500 0.7818 Hf
0.6091 0.7500 0.2182 Hf
0.0441 0.2500 0.0882 Ag
0.9559 0.7500 0.9118 Ag
0.8023 0.2500 0.6046 C
0.1977 0.7500 0.3954 C
```

Values from the calculation:
Space-group type: Cmcm, No. 63
N(E_F), states/eV/atom: 0.658
Total energy, eV per atom: -8.529
Formation enthalpy at 0 K, eV/atom: -0.533



Entry 7:
A relaxed structure of ErCo6Ge6, computed with PBE.

Cell and atoms, written as POSCAR:
```
ErCo6Ge6
1.0
2.5416 -4.4021 0.0000
2.5416 4.4021 0.0000
0.0000 0.0000 7.8427
Er Co Ge
1 6 6
direct
0.0000 0.0000 0.0000 Er
0.5000 0.5000 0.7492 Co
0.5000 0.0000 0.7492 Co
0.0000 0.5000 0.7492 Co
0.5000 0.5000 0.2508 Co
0.5000 0.0000 0.2508 Co
0.0000 0.5000 0.2508 Co
0.6667 0.3333 0.0000 Ge
0.3333 0.6667 0.0000 Ge
0.6667 0.3333 0.5000 Ge
0.3333 0.6667 0.5000 Ge
0.0000 0.0000 0.6555 Ge
0.0000 0.0000 0.3445 Ge
```

Values from the calculation:
Space-group type: P6/mmm, No. 191
N(E_F), states/eV/atom: 0.643
Total energy, eV per atom: -6.115
Formation enthalpy at 0 K, eV/atom: -0.354



Entry 8:
A relaxed structure of Cs2RbZr3S8, computed with PBE.

Cell and atoms, written as POSCAR:
```
Cs2RbZr3S8
1.0
-6.4287 2.2899 -3.6034
-6.5923 -3.8770 1.0333
-6.2230 4.4028 5.6362
Cs Rb Zr S
2 1 3 8
direct
0.1424 0.1424 0.5728 Cs
0.4987 0.4987 0.5038 Cs
0.8604 0.8604 0.4187 Rb
0.4995 0.9993 0.0018 Zr
0.9993 0.4995 0.0018 Zr
0.4995 0.4995 0.0018 Zr
0.2756 0.2756 0.1733 S
0.7250 0.7250 0.8251 S
0.2336 0.2336 0.8370 S
0.6958 0.2336 0.8370 S
0.2336 0.6958 0.8370 S
0.7636 0.3023 0.1705 S
0.3023 0.7636 0.1705 S
0.7636 0.7636 0.1705 S
```

Values from the calculation:
Space-group type: R3m, No. 160
N(E_F), states/eV/atom: 0.577
Total energy, eV per atom: -5.699
Formation energy without anion corrections, meV/atom: -1317